# BaYAs2F, optimized geometry, DFT PBE
data_BaYAs2F
_chemical_formula_sum 'Ba1 Y1 As2 F1'
_cell_length_a 5.2211
_cell_length_b 5.2211
_cell_length_c 7.3917
_cell_angle_alpha 90.00
_cell_angle_beta 90.00
_cell_angle_gamma 90.00
_symmetry_space_group_name_H-M 'P 4/m m m'
_symmetry_Int_Tables_number 123
_symmetry_space_group_name_Hall '-P 4 2'
loop_
_atom_site_label
_atom_site_fract_x
_atom_site_fract_y
_atom_site_fract_z
_atom_site_occupancy
Ba1 0.0000 0.0000 0.0000 1
Y1 0.0000 0.0000 0.5000 1
As1 0.0000 0.5000 0.5000 1
F1 0.5000 0.5000 0.0000 1
# Calculated density in kg/m3: 3256
# Volume in A^3/atom: 40.3
# Total magnetic moment in μB/f.u.: 0.3
# Electronic total energy in eV/atom: -4.459